Th2Al4CuPd3 after structural relaxation. Source: Alexandria via LeMat-Bulk, functional PBE.

abc: 4.336 4.336 10.193
angles: 90.00 90.00 90.00
Element x y z (fractional)
1 Th 0.000 0.500 0.242
2 Th 0.500 0.000 0.758
3 Al 0.000 0.000 0.500
4 Al 0.000 0.500 0.875
5 Al 0.500 0.000 0.125
6 Al 0.500 0.500 0.500
7 Cu 0.500 0.500 0.000
8 Pd 0.000 0.000 0.000
9 Pd 0.000 0.500 0.632
10 Pd 0.500 0.000 0.368

Output
The value obtained for the formation energy is -0.7309 eV per atom. As for the space group: P-4m2 (115).